(1)
Here is a relaxed structure of SrLi3P2 from the Alexandria database. Energies are from GGA-PBE.

Cell lengths 7.8491, 7.8491, 7.6219 Å; angles 114.41, 114.41, 31.38 degrees
Positions (direct):
Sr1 0.1497 0.1497 0.0763
Sr2 0.8503 0.8503 0.9237
Li1 0.0314 0.0314 0.3517
Li2 0.3168 0.3168 0.5481
Li3 0.3938 0.3938 0.2968
Li4 0.6062 0.6062 0.7032
Li5 0.6832 0.6832 0.4519
Li6 0.9686 0.9686 0.6483
P1 0.1813 0.1813 0.6741
P2 0.4838 0.4838 0.8409
P3 0.5162 0.5162 0.1591
P4 0.8187 0.8187 0.3259

Values from the calculation:
The value obtained for the size of the total moment is 0.000 μB/f.u. The value obtained for the formation enthalpy at 0 K is -0.823 eV per atom. The calculation puts the uncorrected energy at -3.864 eV per atom. As for the density of states at the Fermi level: 0.016 states/eV/atom.


(2)
Here is a relaxed structure of SrLiP from the Alexandria database. Energies are from GGA-PBE.

Cell lengths 4.8810, 4.8810, 6.2490 Å; angles 90.00, 90.00, 104.73 degrees
Positions (direct):
Sr1 0.1454 0.8546 0.7500
Sr2 0.8546 0.1454 0.2500
Li1 0.5000 0.5000 0.0000
Li2 0.5000 0.5000 0.5000
P1 0.2483 0.7517 0.2500
P2 0.7517 0.2483 0.7500

Values from the calculation:
The value obtained for the size of the total moment is 0.000 μB/f.u. The value obtained for the formation enthalpy at 0 K is -0.798 eV per atom. The calculation puts the uncorrected energy at -3.800 eV per atom.